Entry 1:
Material: CoTcSb2I
Method: DFT, meta-GGA SCAN
State: single point on PBEsol structure

* magnetic moment: 2.324 μB per formula unit
* formation energy from raw total energies: 89 kJ per mole of atoms

abc: 4.972 4.972 5.645
angles: 90.00 90.00 90.00
Space group P4/mmm (No. 123)
Asymmetric unit:
1 Co 0.000 0.000 0.000 [1 per cell]
2 Tc 0.500 0.500 0.500 [1 per cell]
3 Sb 0.000 0.500 0.500 [2 per cell]
4 I 0.500 0.500 0.000 [1 per cell]

---

Entry 2:
Material: Sr2La2MgMnO8
Method: DFT, meta-GGA SCAN
State: single point on PBEsol structure

* magnetic moment: 3.003 μB per formula unit
* formation energy from raw total energies: -302 kJ per mole of atoms
* energy above the most stable polymorph in this dataset: 83 meV/atom

abc: 3.807 3.807 12.465
angles: 90.00 90.00 90.00
Space group P4/mmm (No. 123)
Asymmetric unit:
1 Sr 0.000 0.000 0.139 [2 per cell]
2 La 0.500 0.500 0.361 [2 per cell]
3 Mg 0.000 0.000 0.500 [1 per cell]
4 Mn 0.500 0.500 0.000 [1 per cell]
5 O 0.000 0.000 0.328 [2 per cell]
6 O 0.000 0.500 0.000 [2 per cell]
7 O 0.000 0.500 0.500 [2 per cell]
8 O 0.500 0.500 0.157 [2 per cell]

---

Entry 3:
Material: LiBeCl
Method: DFT, meta-GGA SCAN
State: single point on PBEsol structure

* magnetic moment: 0.000 μB per formula unit
* formation energy from raw total energies: -31 kJ per mole of atoms
* energy above the most stable polymorph in this dataset: 0 meV/atom

abc: 3.1392 3.1392 5.3176
angles: 90.00 90.00 120.00
Space group P3m1 (No. 156)
Asymmetric unit:
1 Li 0.0000 0.0000 0.0000 [1 per cell]
2 Be 0.3333 0.6667 0.6323 [1 per cell]
3 Cl 0.6667 0.3333 0.3605 [1 per cell]

---

Entry 4:
Material: CdAgPb
Method: DFT, meta-GGA SCAN
State: single point on PBEsol structure

* magnetic moment: 0.000 μB per formula unit
* E_form: 0.05 eV/atom

abc: 6.635 6.635 6.635
angles: 90.00 90.00 90.00
Space group F-43m (No. 216)
Asymmetric unit:
1 Cd 0.000 0.000 0.000 [4 per cell]
2 Ag 0.250 0.250 0.750 [4 per cell]
3 Pb 0.000 0.000 0.500 [4 per cell]

---

Entry 5:
Material: TiGePd
Method: DFT, meta-GGA SCAN
State: single point on PBEsol structure

* magnetic moment: 0.000 μB per formula unit
* E_form: -0.80 eV/atom

abc: 6.5478 6.5478 3.6870
angles: 90.00 90.00 120.00
Space group P-62m (No. 189)
Asymmetric unit:
1 Ti 0.0000 0.5874 0.0000 [3 per cell]
2 Ge 0.0000 0.0000 0.0000 [1 per cell]
3 Ge 0.3333 0.6667 0.5000 [2 per cell]
4 Pd 0.0000 0.2585 0.5000 [3 per cell]

---

Entry 6:
Material: Tc3HgMo
Method: DFT, meta-GGA SCAN
State: single point on PBEsol structure

* magnetic moment: 2.683 μB per formula unit
* E_form: 1.69 eV/atom

abc: 4.598 4.598 4.598
angles: 90.00 90.00 90.00
Space group Pm-3m (No. 221)
Asymmetric unit:
1 Tc 0.000 0.000 0.500 [3 per cell]
2 Hg 0.500 0.500 0.500 [1 per cell]
3 Mo 0.000 0.000 0.000 [1 per cell]

---

Entry 7:
Material: Er4Ni2C5
Method: DFT, meta-GGA SCAN
State: single point on PBEsol structure

* magnetic moment: 0.000 μB per formula unit
* E_form: -0.50 eV/atom

abc: 3.536 11.393 3.629
angles: 90.00 90.00 90.00
Space group Pmm2 (No. 25)
Asymmetric unit:
1 Er 0.000 0.000 0.000 [1 per cell]
2 Er 0.000 0.296 0.711 [2 per cell]
3 Er 0.500 0.500 0.215 [1 per cell]
4 Ni 0.500 0.115 0.511 [2 per cell]
5 C 0.000 0.500 0.720 [1 per cell]
6 C 0.500 0.167 0.012 [2 per cell]
7 C 0.500 0.271 0.214 [2 per cell]

---

Entry 8:
Material: BeOs2Ru
Method: DFT, meta-GGA SCAN
State: single point on PBEsol structure

* magnetic moment: 0.000 μB per formula unit
* E_form: 0.03 eV/atom

abc: 2.686 3.848 5.070
angles: 90.00 104.79 90.00
Space group Pm (No. 6)
Asymmetric unit:
1 Be 0.000 0.000 0.000 [1 per cell]
2 Os 0.179 0.500 0.279 [1 per cell]
3 Os 0.799 0.000 0.522 [1 per cell]
4 Ru 0.441 0.500 0.819 [1 per cell]

---

Entry 9:
Material: Ag4Se
Method: DFT, meta-GGA SCAN
State: single point on PBEsol structure

* magnetic moment: 0.000 μB per formula unit
* formation energy from raw total energies: 2 kJ per mole of atoms

abc: 6.559 6.559 4.041
angles: 90.00 90.00 90.00
Space group I4/m (No. 87)
Asymmetric unit:
1 Ag 0.098 0.695 0.000 [8 per cell]
2 Se 0.000 0.000 0.500 [2 per cell]

---

Entry 10:
Material: BaZrAs2
Method: DFT, meta-GGA SCAN
State: single point on PBEsol structure

* magnetic moment: 0.000 μB per formula unit
* E_form: -0.29 eV/atom
* energy above the most stable polymorph in this dataset: 949 meV/atom

abc: 4.283 4.283 10.524
angles: 90.00 90.00 90.00
Space group I-4m2 (No. 119)
Asymmetric unit:
1 Ba 0.000 0.000 0.000 [2 per cell]
2 Zr 0.000 0.500 0.250 [2 per cell]
3 As 0.000 0.000 0.500 [2 per cell]
4 As 0.000 0.500 0.750 [2 per cell]

---

Entry 11:
Material: InMoRu
Method: DFT, meta-GGA SCAN
State: single point on PBEsol structure

* magnetic moment: 0.000 μB per formula unit
* E_form: 0.05 eV/atom

abc: 2.948 2.948 11.183
angles: 90.00 90.00 90.00
Space group I4mm (No. 107)
Asymmetric unit:
1 In 0.000 0.000 0.000 [2 per cell]
2 Mo 0.000 0.000 0.689 [2 per cell]
3 Ru 0.000 0.000 0.323 [2 per cell]

---

Entry 12:
Material: KReAs4
Method: DFT, meta-GGA SCAN
State: single point on PBEsol structure

* magnetic moment: 3.579 μB per formula unit
* E_form: 0.92 eV/atom

abc: 7.804 7.804 7.804
angles: 90.00 90.00 90.00
Space group F-43m (No. 216)
Asymmetric unit:
1 K 0.000 0.000 0.000 [4 per cell]
2 Re 0.250 0.250 0.250 [4 per cell]
3 As 0.123 0.123 0.623 [16 per cell]

---

Entry 13:
Material: Re2Se
Method: DFT, meta-GGA SCAN
State: single point on PBEsol structure

* magnetic moment: 0.000 μB per formula unit
* formation energy from raw total energies: 84 kJ per mole of atoms
* energy above the most stable polymorph in this dataset: 461 meV/atom

abc: 3.016 3.016 20.553
angles: 90.00 90.00 90.00
Space group I4_1/amd (No. 141, origin choice 2)
Asymmetric unit:
1 Re 0.000 0.250 0.299 [8 per cell]
2 Se 0.000 0.250 0.875 [4 per cell]

---

Entry 14:
Material: ScAsRu2
Method: DFT, meta-GGA SCAN
State: single point on PBEsol structure

* magnetic moment: 0.000 μB per formula unit
* E_form: -0.39 eV/atom

abc: 8.696 3.032 4.771
angles: 90.00 106.60 90.00
Space group C2/m (No. 12)
Asymmetric unit:
1 Sc 0.000 0.000 0.000 [2 per cell]
2 As 0.000 0.500 0.500 [2 per cell]
3 Ru 0.235 0.000 0.721 [4 per cell]

---

Entry 15:
Material: YTe2AuI
Method: DFT, meta-GGA SCAN
State: single point on PBEsol structure

* magnetic moment: 0.002 μB per formula unit
* formation energy from raw total energies: 2 kJ per mole of atoms

abc: 5.784 5.784 5.690
angles: 90.00 90.00 90.00
Space group P4/mmm (No. 123)
Asymmetric unit:
1 Y 0.000 0.000 0.000 [1 per cell]
2 Te 0.000 0.500 0.000 [2 per cell]
3 Au 0.500 0.500 0.500 [1 per cell]
4 I 0.000 0.000 0.500 [1 per cell]

---

Entry 16:
Material: Ca2DyMoO6
Method: DFT, meta-GGA SCAN
State: single point on PBEsol structure

* magnetic moment: 1.000 μB per formula unit
* formation energy from raw total energies: -292 kJ per mole of atoms

abc: 5.5679 5.5679 14.9470
angles: 90.00 90.00 120.00
Space group R-3 (No. 148, hexagonal axes)
Asymmetric unit:
1 Ca 0.0000 0.0000 0.2169 [6 per cell]
2 Dy 0.0000 0.0000 0.0000 [3 per cell]
3 Mo 0.0000 0.0000 0.5000 [3 per cell]
4 O 0.0092 0.5954 0.2390 [18 per cell]

---

Entry 17:
Material: IrRuC3
Method: DFT, meta-GGA SCAN
State: single point on PBEsol structure

* magnetic moment: 0.000 μB per formula unit
* E_form: 2.60 eV/atom

abc: 3.875 3.875 3.875
angles: 90.00 90.00 90.00
Space group Pm-3m (No. 221)
Asymmetric unit:
1 Ir 0.000 0.000 0.000 [1 per cell]
2 Ru 0.500 0.500 0.500 [1 per cell]
3 C 0.000 0.500 0.500 [3 per cell]

---

Entry 18:
Material: K2LaW
Method: DFT, meta-GGA SCAN
State: single point on PBEsol structure

* magnetic moment: 0.000 μB per formula unit
* E_form: 1.34 eV/atom
* energy above the most stable polymorph in this dataset: 0 meV/atom

abc: 3.414 5.070 6.720
angles: 90.00 90.00 90.00
Space group Pmmm (No. 47)
Asymmetric unit:
1 K 0.000 0.000 0.000 [1 per cell]
2 K 0.500 0.500 0.000 [1 per cell]
3 La 0.000 0.500 0.500 [1 per cell]
4 W 0.500 0.000 0.500 [1 per cell]

---

Entry 19:
Material: LaZnBr2
Method: DFT, meta-GGA SCAN
State: single point on PBEsol structure

* magnetic moment: 0.000 μB per formula unit
* formation energy from raw total energies: -101 kJ per mole of atoms
* energy above the most stable polymorph in this dataset: 82 meV/atom

abc: 4.295 4.295 10.601
angles: 90.00 90.00 90.00
Space group I-4m2 (No. 119)
Asymmetric unit:
1 La 0.000 0.000 0.000 [2 per cell]
2 Zn 0.000 0.500 0.250 [2 per cell]
3 Br 0.000 0.000 0.500 [2 per cell]
4 Br 0.000 0.500 0.750 [2 per cell]

---

Entry 20:
Material: K2CrPt
Method: DFT, meta-GGA SCAN
State: single point on PBEsol structure

* magnetic moment: 5.309 μB per formula unit
* E_form: 0.46 eV/atom

abc: 4.360 4.360 5.582
angles: 90.00 90.00 90.00
Space group P4/mmm (No. 123)
Asymmetric unit:
1 K 0.000 0.000 0.241 [2 per cell]
2 Cr 0.500 0.500 0.500 [1 per cell]
3 Pt 0.500 0.500 0.000 [1 per cell]